ZnW2O4 PBE with a Hubbard U optimized geometry; offset from the most stable computed form = 186 meV/atom; DFT total energy = -181.41 eV for the cell shown
1.0
3.2023 0.0000 0.0000
0.0000 10.3542 0.0000
0.0000 0.0000 10.4673
Zn W O
4 8 16
direct
0.0361 0.1444 0.2500
0.0361 0.3556 0.7500
0.9639 0.6444 0.2500
0.9639 0.8556 0.7500
0.3011 0.6187 0.5738
0.3011 0.6187 0.9262
0.3011 0.8813 0.0738
0.3011 0.8813 0.4262
0.6989 0.1187 0.5738
0.6989 0.1187 0.9262
0.6989 0.3813 0.0738
0.6989 0.3813 0.4262
0.1937 0.2500 0.0000
0.1937 0.2500 0.5000
0.1985 0.5175 0.1108
0.1985 0.5175 0.3892
0.1985 0.9825 0.6108
0.1985 0.9825 0.8892
0.4352 0.7279 0.7500
0.4352 0.7721 0.2500
0.5648 0.2279 0.7500
0.5648 0.2721 0.2500
0.8015 0.0175 0.1108
0.8015 0.0175 0.3892
0.8015 0.4825 0.6108
0.8015 0.4825 0.8892
0.8063 0.7500 0.0000
0.8063 0.7500 0.5000